This record from Alexandria via LeMat-Bulk describes Ti2BiAs after structural relaxation. The functional is PBE.

Calculated values
Its calculated volume is 81.8 Å³ per cell. As for the symmetry: R-3m. For the formation energy, the calculation gives -485 meV/atom.

Lattice parameters (Å, degrees): 6.913 6.913 6.913 31.87 31.87 31.87
Fractional coordinates of all 4 atoms:
1 Ti 0.232 0.232 0.232
2 Ti 0.768 0.768 0.768
3 Bi 0.000 0.000 0.000
4 As 0.500 0.500 0.500